Compound: AlFeSbTe2
Source: Alexandria via LeMat-Bulk
Functional: GGA-PBE
Structure: relaxed

ΔE_f (raw): 0.479 eV/atom
final energy: -4.043 eV/atom
size of the total moment: 2.47 Bohr magnetons per cell

```
AlFeSbTe2
1.0
-3.241 3.075 2.701
-1.625 -4.129 2.751
3.422 0.790 3.207
Sb Te Fe Al
1 2 1 1
Cartesian
1.711 0.395 1.603
-0.812 -2.065 1.375
-1.621 1.537 1.351
0.000 0.000 0.000
-0.722 -0.132 4.329
```